# 1
VASP calculation (PBE) on a geometry-optimized NbNiP2 structure.

Summary:
energy of formation	-0.739	eV/atom

Cell lengths 5.4236, 3.3597, 12.2102 Å; angles 90.00, 90.00, 90.00 degrees
With the nearest neighbours (Å) after each atom.
Space group Pnma (No. 62)
Inequivalent atoms, fractional coordinates:
Nb 0.0174 0.2500 0.1702 [4 per cell]  7 P 2.53-2.69
Ni 0.0205 0.2500 0.4149 [4 per cell]  5 P 2.27-2.37
P 0.1347 0.2500 0.6902 [4 per cell]  2 Ni 2.27, 4 Nb 2.53-2.54
P 0.1915 0.2500 0.9639 [4 per cell]  3 Ni 2.32-2.37



# 2
VASP calculation (PBE) on a geometry-optimized TaTlAg structure.

Summary:
E above lowest polymorph	49.2	kJ/mol of atoms
energy of formation	0.973	eV/atom

Cell lengths 6.4274, 6.4274, 6.4274 Å; angles 90.00, 90.00, 90.00 degrees
With the nearest neighbours (Å) after each atom.
Space group F-43m (No. 216)
Inequivalent atoms, fractional coordinates:
Ta 0.0000 0.0000 0.0000 [4 per cell]  4 Ag 2.78
Tl 0.0000 0.0000 0.5000 [4 per cell]  4 Ag 2.78
Ag 0.2500 0.2500 0.7500 [4 per cell]  4 Ta 2.78, 4 Tl 2.78



# 3
VASP calculation (PBE) on a geometry-optimized Tl3WBr7 structure.

Summary:
formation energy (no corrections)	-600	meV/atom

Cell lengths 10.6784, 15.6075, 9.8786 Å; angles 90.00, 90.00, 90.00 degrees
With the nearest neighbours (Å) after each atom.
Space group C222_1 (No. 20)
Inequivalent atoms, fractional coordinates:
Tl 0.0270 0.0000 0.0000 [4 per cell]  6 Br 3.29-3.68
Tl 0.2292 0.2778 0.7520 [8 per cell]  7 Br 3.17-3.55
W 0.0003 0.5000 0.0000 [4 per cell]  6 Br 2.52-2.63
Br 0.0000 0.1382 0.2500 [4 per cell]  4 Tl 3.17-3.29
Br 0.0000 0.1453 0.7500 [4 per cell]  4 Tl 3.20-3.37
Br 0.0000 0.4429 0.7500 [4 per cell]  2 W 2.63
Br 0.1678 0.3905 0.0476 [8 per cell]  1 W 2.52
Br 0.1703 0.3911 0.4536 [8 per cell]  1 W 2.53



# 4
VASP calculation (PBE) on a geometry-optimized AcCdSeO5 structure.

Summary:
formation energy (no corrections)	-1498	meV/atom

Cell lengths 8.9575, 9.3099, 8.7916 Å; angles 90.00, 120.33, 90.00 degrees
With the nearest neighbours (Å) after each atom.
Space group C2/c (No. 15)
Inequivalent atoms, fractional coordinates:
Ac 0.0000 0.0000 0.0000 [4 per cell]  6 O 2.39-2.59
Cd 0.0000 0.3223 0.2500 [4 per cell]  3 O 2.07-2.27
Se 0.0000 0.3473 0.7500 [4 per cell]  4 O 1.76-1.83
O 0.0000 0.1000 0.2500 [4 per cell]  1 Cd 2.07
O 0.0143 0.2715 0.5651 [8 per cell]  1 Se 1.83
O 0.1662 0.4764 0.8445 [8 per cell]  1 Se 1.76



# 5
VASP calculation (PBE) on a geometry-optimized ZrRe2Si structure.

Summary:
formation energy (no corrections)	-145	meV/atom

Cell lengths 9.0598, 3.1617, 4.7785 Å; angles 90.00, 108.88, 90.00 degrees
With the nearest neighbours (Å) after each atom.
Space group C2/m (No. 12)
Inequivalent atoms, fractional coordinates:
Zr 0.0000 0.0000 0.0000 [2 per cell]  6 Re 2.85-2.88, 4 Si 2.86, 2 Zr 3.16
Re 0.2286 0.0000 0.7064 [4 per cell]  2 Si 2.54, 2 Re 2.65
Si 0.0000 0.5000 0.5000 [2 per cell]  4 Re 2.54



# 6
VASP calculation (PBE) on a geometry-optimized La4SmHo structure.

Summary:
E above lowest polymorph	0.0	kJ/mol of atoms
energy of formation	0.053	eV/atom

Cell lengths 7.1059, 10.1340, 5.8556 Å; angles 90.00, 90.13, 90.00 degrees
With the nearest neighbours (Å) after each atom.
Space group P2_1/c (No. 14)
Inequivalent atoms, fractional coordinates:
La 0.2454 0.1769 0.4991 [4 per cell]  5 La 3.28-3.61
La 0.2467 0.6601 0.0006 [4 per cell]  5 La 3.42-3.61, 2 Ho 3.78, 2 Sm 3.79-3.81
Sm 0.5000 0.0000 0.0000 [2 per cell]  2 Ho 3.55, 12 La 3.74-3.89
Ho 0.0000 0.0000 0.0000 [2 per cell]  2 Sm 3.55, 12 La 3.71-3.86



Raw total energy? In order: -7.407, -4.717, -3.487, -5.660, -9.862, -4.781 eV per atom.